No. 1
Ti2Mo5W4: optimized geometry, PBE-GGA.

Computed properties:
The total DFT energy (no corrections) is -10.742 eV/atom. Its space group is No. 12. The energy above the lowest structure with this stoichiometry is 0.300 eV per atom. As for the magnetic moment: 0.0 μB per formula unit. The formation energy is 3.6 eV/f.u.

POSCAR file:
```
Ti2Mo5W4
1.0
-4.629 2.102 0.226
-3.898 -2.955 4.935
-0.710 4.078 4.827
Ti Mo W
2 5 4
direct
0.339 0.672 0.650
0.661 0.328 0.350
0.239 0.184 0.833
0.761 0.816 0.167
0.000 0.500 0.500
0.744 0.184 0.833
0.256 0.816 0.167
0.252 0.083 0.412
0.748 0.917 0.588
0.767 0.559 0.908
0.233 0.441 0.092
```

No. 2
TiMo2W3: optimized geometry, PBE-GGA.

Computed properties:
The total DFT energy (no corrections) is -11.472 eV/atom. Its space group is No. 123. The energy above the lowest structure with this stoichiometry is 0.000 eV per atom. As for the magnetic moment: 0.0 μB per formula unit. The formation energy is -0.4 eV/f.u.

POSCAR file:
```
TiMo2W3
1.0
3.166 0.000 0.000
0.000 3.166 0.000
0.000 0.000 9.555
Ti Mo W
1 2 3
direct
0.500 0.500 0.500
0.500 0.500 0.833
0.500 0.500 0.167
0.000 0.000 0.000
0.000 0.000 0.670
0.000 0.000 0.330
```

No. 3
TiZnMoW: optimized geometry, PBE-GGA.

Computed properties:
The total DFT energy (no corrections) is -8.234 eV/atom. Its space group is No. 216. As for the magnetic moment: 0.0 μB per formula unit. The formation energy is 0.0 eV/f.u.

POSCAR file:
```
TiZnMoW
1.0
-1.976 3.677 1.552
-3.695 -0.329 2.463
0.135 0.932 4.353
Mo Zn W Ti
1 1 1 1
direct
0.750 0.750 0.750
0.000 0.000 0.000
0.500 0.500 0.500
0.250 0.250 0.250
```

No. 4
YTiMo2: optimized geometry, PBE-GGA.

Computed properties:
The total DFT energy (no corrections) is -8.105 eV/atom. Its space group is No. 122. The energy above the lowest structure with this stoichiometry is 0.508 eV per atom. As for the magnetic moment: 0.0 μB per formula unit. The formation energy is 3.6 eV/f.u.

POSCAR file:
```
YTiMo2
1.0
4.506 0.000 0.000
0.000 4.506 0.000
2.253 2.253 9.243
Y Mo Ti
2 4 2
direct
0.000 0.000 0.000
0.750 0.250 0.500
0.284 0.125 0.250
0.466 0.625 0.250
0.375 0.716 0.750
0.875 0.534 0.750
0.500 0.500 0.000
0.250 0.750 0.500
```

No. 5
YTiMo3: optimized geometry, PBE-GGA.

Computed properties:
The total DFT energy (no corrections) is -8.345 eV/atom. Its space group is No. 221. The energy above the lowest structure with this stoichiometry is 0.000 eV per atom. As for the magnetic moment: 0.0 μB per formula unit. The formation energy is 5.1 eV/f.u.

POSCAR file:
```
YTiMo3
1.0
-0.864 0.641 4.563
3.489 -2.942 1.074
3.010 3.594 0.065
Y Mo Ti
1 3 1
direct
0.500 0.500 0.500
0.000 0.500 0.000
0.000 0.000 0.500
0.500 0.000 0.000
0.000 0.000 0.000
```

No. 6
Y3TiMo: optimized geometry, PBE-GGA.

Computed properties:
The total DFT energy (no corrections) is -6.807 eV/atom. Its space group is No. 221. The energy above the lowest structure with this stoichiometry is 0.000 eV per atom. As for the magnetic moment: 0.0 μB per formula unit. The formation energy is 4.1 eV/f.u.

POSCAR file:
```
Y3TiMo
1.0
-0.562 1.925 -4.910
4.885 -1.672 -1.214
-1.988 -4.651 -1.596
Y Mo Ti
3 1 1
direct
0.000 0.500 0.000
0.000 0.000 0.500
0.500 0.000 0.000
0.000 0.000 0.000
0.500 0.500 0.500
```